[1]
La3AgPd3 after structural relaxation. Source: the Alexandria database, functional PBE.

The structure in POSCAR format:
```
La3AgPd3
1.0
6.045 -2.106 0.000
6.045 2.106 0.000
-5.222 0.000 13.765
La Ag Pd
6 2 6
Cartesian
-1.704 0.000 5.279
-3.570 0.000 12.714
1.597 0.000 3.152
5.272 0.000 10.613
10.439 0.000 1.051
8.573 0.000 8.487
0.181 0.000 8.180
6.688 0.000 5.586
-0.271 0.000 12.704
2.293 0.000 6.133
1.888 0.000 10.635
4.981 0.000 3.130
4.577 0.000 7.633
7.140 0.000 1.061
```

Computed properties:
The density is 8.0 g/cm³. The space group is C2/m. For the electronic total energy, the calculation gives -0.3994 Ry/atom. The magnetic moment is 0.00 μB/f.u. The formation energy from the elements comes out at -0.69 eV per atom. Its excess energy over the best structure of this formula in the dataset is 0.0 kJ/mol of formula units. Its density of states at the Fermi level is 10.31 states/eV per cell.

***

[2]
LaAgPd2 after structural relaxation. Source: the Alexandria database, functional PBE.

The structure in POSCAR format:
```
LaAgPd2
1.0
-2.193 2.193 9.305
2.193 -2.193 9.305
2.193 2.193 -9.305
La Ag Pd
2 2 4
Cartesian
0.000 0.000 0.000
0.000 2.193 4.652
2.193 0.000 4.652
0.000 0.000 9.305
1.097 -0.931 6.979
1.262 1.097 2.326
1.097 3.124 -2.326
0.931 1.097 11.631
```

Computed properties:
The density is 8.5 g/cm³. The space group is I-42d. For the electronic total energy, the calculation gives -0.3549 Ry/atom. The magnetic moment is 0.00 μB/f.u. The formation energy from the elements comes out at -0.29 eV per atom. Its excess energy over the best structure of this formula in the dataset is 108.7 kJ/mol of formula units. Its density of states at the Fermi level is 2.82 states/eV per cell.

***

[3]
LaAg2Pd after structural relaxation. Source: the Alexandria database, functional PBE.

The structure in POSCAR format:
```
LaAg2Pd
1.0
4.500 0.000 0.000
0.000 7.776 0.000
-2.242 0.000 5.048
La Ag Pd
2 4 2
Cartesian
-0.001 1.944 0.746
2.258 5.832 4.302
0.010 0.444 3.682
0.010 3.444 3.682
2.248 4.332 1.366
2.248 7.332 1.366
-0.003 5.832 2.175
2.260 1.944 2.873
```

Computed properties:
The density is 8.7 g/cm³. The space group is P2_1/m. For the electronic total energy, the calculation gives -0.3237 Ry/atom. The magnetic moment is 0.00 μB/f.u. The formation energy from the elements comes out at -0.45 eV per atom. Its density of states at the Fermi level is 3.76 states/eV per cell.

***

[4]
LaAgPd after structural relaxation. Source: the Alexandria database, functional PBE.

The structure in POSCAR format:
```
LaAgPd
1.0
4.616 0.000 0.000
0.000 3.737 0.000
0.000 0.000 8.392
La Ag Pd
2 2 2
Cartesian
1.154 0.000 1.816
3.462 0.000 6.576
1.154 1.869 4.911
3.462 1.869 3.481
1.154 1.869 7.637
3.462 1.869 0.755
```

Computed properties:
The density is 8.1 g/cm³. The space group is Pmma. For the electronic total energy, the calculation gives -0.3591 Ry/atom. The magnetic moment is 0.00 μB/f.u. The formation energy from the elements comes out at -0.56 eV per atom. Its excess energy over the best structure of this formula in the dataset is 12.6 kJ/mol of formula units. Its density of states at the Fermi level is 5.08 states/eV per cell.

***

[5]
LaAg2Pd5 after structural relaxation. Source: the Alexandria database, functional PBE.

The structure in POSCAR format:
```
LaAg2Pd5
1.0
-2.131 2.131 7.837
2.131 -2.131 7.837
2.131 2.131 -7.837
La Ag Pd
1 2 5
Cartesian
0.000 0.000 0.000
0.000 0.000 3.934
0.000 0.000 11.740
2.131 0.000 2.040
2.131 0.000 5.797
0.000 0.000 7.837
0.000 2.131 2.040
0.000 2.131 5.797
```

Computed properties:
The density is 10.3 g/cm³. The space group is I4/mmm. For the electronic total energy, the calculation gives -0.3664 Ry/atom. The magnetic moment is 0.00 μB/f.u. The formation energy from the elements comes out at -0.41 eV per atom. Its density of states at the Fermi level is 2.53 states/eV per cell.

***

[6]
LaAgPd after structural relaxation. Source: the Alexandria database, functional PBE.

The structure in POSCAR format:
```
LaAgPd
1.0
-1.919 1.919 4.729
1.919 -1.919 4.729
1.919 1.919 -4.729
La Ag Pd
1 1 1
Cartesian
0.000 0.000 0.000
0.000 0.000 6.436
0.000 0.000 3.246
```

Computed properties:
The density is 8.4 g/cm³. The space group is I4mm. For the electronic total energy, the calculation gives -0.3527 Ry/atom. The magnetic moment is 0.00 μB/f.u. The formation energy from the elements comes out at -0.48 eV per atom. Its excess energy over the best structure of this formula in the dataset is 37.7 kJ/mol of formula units. Its density of states at the Fermi level is 1.48 states/eV per cell.

***

[7]
La3Ag2Pd6 after structural relaxation. Source: the Alexandria database, functional PBE.

The structure in POSCAR format:
```
La3Ag2Pd6
1.0
-4.928 4.928 4.928
4.928 -4.928 4.928
4.928 4.928 -4.928
La Ag Pd
6 4 12
Cartesian
2.975 0.000 0.000
6.881 0.000 0.000
0.000 2.975 0.000
0.000 0.000 2.975
0.000 6.881 0.000
0.000 0.000 6.881
2.464 2.464 -2.464
2.464 -2.464 2.464
-2.464 2.464 2.464
2.464 2.464 2.464
4.928 1.523 -1.523
4.928 -1.523 1.523
4.928 1.523 1.523
1.523 4.928 -1.523
3.404 3.404 0.000
1.523 -1.523 4.928
3.404 0.000 3.404
-1.523 4.928 1.523
1.523 4.928 1.523
-1.523 1.523 4.928
1.523 1.523 4.928
0.000 3.404 3.404
```

Computed properties:
The density is 8.8 g/cm³. The space group is Im-3m. For the electronic total energy, the calculation gives -0.3931 Ry/atom. The magnetic moment is 0.00 μB/f.u. The formation energy from the elements comes out at -0.65 eV per atom. Its density of states at the Fermi level is 6.38 states/eV per cell.

***

[8]
LaAg4Pd after structural relaxation. Source: the Alexandria database, functional PBE.

The structure in POSCAR format:
```
LaAg4Pd
1.0
0.000 3.936 3.936
3.936 0.000 3.936
3.936 3.936 0.000
La Ag Pd
1 4 1
Cartesian
0.000 0.000 0.000
2.958 2.958 2.958
4.914 4.914 2.958
4.914 2.958 4.914
2.958 4.914 4.914
5.904 5.904 5.904
```

Computed properties:
The density is 9.2 g/cm³. The space group is F-43m. For the electronic total energy, the calculation gives -0.2804 Ry/atom. The magnetic moment is 0.00 μB/f.u. The formation energy from the elements comes out at -0.23 eV per atom. Its density of states at the Fermi level is 4.15 states/eV per cell.

***

[9]
La3AgPd3 after structural relaxation. Source: the Alexandria database, functional PBE.

The structure in POSCAR format:
```
La3AgPd3
1.0
8.962 0.000 0.000
-4.481 7.761 0.000
0.000 0.000 5.843
La Ag Pd
6 2 6
Cartesian
-2.594 5.287 1.461
1.199 2.871 1.461
3.086 0.397 4.382
1.395 7.364 1.461
3.282 4.890 4.382
7.075 2.474 4.382
0.000 5.174 4.382
4.481 2.587 1.461
-2.771 5.371 4.382
1.215 2.675 4.382
2.924 0.285 1.461
1.556 7.476 4.382
3.266 5.086 1.461
7.252 2.390 1.461
```

Computed properties:
The density is 6.9 g/cm³. The space group is P6_3/m. For the electronic total energy, the calculation gives -0.3873 Ry/atom. The magnetic moment is 0.00 μB/f.u. The formation energy from the elements comes out at -0.53 eV per atom. Its excess energy over the best structure of this formula in the dataset is 110.8 kJ/mol of formula units. Its density of states at the Fermi level is 8.77 states/eV per cell.

***

[10]
LaAgPd2 after structural relaxation. Source: the Alexandria database, functional PBE.

The structure in POSCAR format:
```
LaAgPd2
1.0
2.331 1.346 4.619
-2.331 1.346 4.619
0.000 -2.691 4.619
La Ag Pd
1 1 2
Cartesian
0.000 0.000 0.000
0.000 0.000 6.929
0.000 0.000 2.947
0.000 0.000 10.911
```

Computed properties:
The density is 8.8 g/cm³. The space group is R-3m. For the electronic total energy, the calculation gives -0.3748 Ry/atom. The magnetic moment is 0.00 μB/f.u. The formation energy from the elements comes out at -0.56 eV per atom. Its excess energy over the best structure of this formula in the dataset is 4.3 kJ/mol of formula units. Its density of states at the Fermi level is 1.21 states/eV per cell.

***

[11]
LaAg3Pd after structural relaxation. Source: the Alexandria database, functional PBE.

The structure in POSCAR format:
```
LaAg3Pd
1.0
-2.683 2.683 9.200
2.683 -2.683 9.200
2.683 2.683 -9.200
La Ag Pd
2 6 2
Cartesian
0.000 0.000 3.395
0.000 0.000 15.005
2.683 1.354 2.256
1.354 2.683 -2.256
1.329 0.000 6.944
0.000 2.683 1.126
0.000 1.329 11.457
0.000 2.683 8.075
2.683 0.000 4.600
0.000 0.000 9.200
```

Computed properties:
The density is 7.1 g/cm³. The space group is I-4m2. For the electronic total energy, the calculation gives -0.2745 Ry/atom. The magnetic moment is 0.00 μB/f.u. The formation energy from the elements comes out at 0.00 eV per atom. Its excess energy over the best structure of this formula in the dataset is 161.2 kJ/mol of formula units. Its density of states at the Fermi level is 6.27 states/eV per cell.

***

[12]
La5Ag2Pd5 after structural relaxation. Source: the Alexandria database, functional PBE.

The structure in POSCAR format:
```
La5Ag2Pd5
1.0
7.914 -2.100 0.000
7.914 2.100 0.000
-6.928 0.000 9.056
La Ag Pd
5 2 5
Cartesian
0.000 0.000 0.000
-1.366 0.000 3.837
-2.643 0.000 7.467
11.543 0.000 1.590
10.265 0.000 5.219
0.536 0.000 6.718
8.364 0.000 2.338
2.077 0.000 3.058
5.795 0.000 1.177
4.450 0.000 4.528
3.105 0.000 7.879
6.823 0.000 5.999
```

Computed properties:
The density is 8.0 g/cm³. The space group is C2/m. For the electronic total energy, the calculation gives -0.3924 Ry/atom. The magnetic moment is 0.00 μB/f.u. The formation energy from the elements comes out at -0.65 eV per atom. Its density of states at the Fermi level is 8.42 states/eV per cell.